# 1
Here is an optimized crystal structure of AcZnGaAg from Alexandria. Energies are from PBE.

SG: F-43m, No. 216
E_form: -220.3 meV per atom
total magnetic moment: 0.00 μB per atom
total energy: -12.1 eV/f.u.

Cell and atoms, written as POSCAR:
```
AcZnGaAg
1.0
-1.645 4.773 -0.724
-4.927 1.130 0.680
-1.439 2.834 3.989
Ac Zn Ag Ga
1 1 1 1
Direct
0.750 0.750 0.750
0.000 0.000 0.000
0.250 0.250 0.250
0.500 0.500 0.500
```


# 2
Here is an optimized crystal structure of Ac3Zn6Ga2Ag from Alexandria. Energies are from PBE.

SG: P-3m1, No. 164
E_form: -182.3 meV per atom
total magnetic moment: 0.00 μB per atom
total energy: -31.1 eV/f.u.

Cell and atoms, written as POSCAR:
```
Ac3Zn6Ga2Ag
1.0
-0.218 6.080 -2.114
-3.649 -4.513 -2.792
-6.079 1.629 5.312
Zn Ac Ga Ag
6 3 2 1
Direct
0.805 0.611 0.655
0.389 0.195 0.655
0.195 0.805 0.345
0.195 0.389 0.345
0.611 0.805 0.345
0.805 0.195 0.655
0.667 0.333 0.291
0.000 0.000 0.000
0.333 0.667 0.709
0.333 0.667 0.096
0.667 0.333 0.904
0.000 0.000 0.500
```


# 3
Here is an optimized crystal structure of AcZnGaAg6 from Alexandria. Energies are from PBE.

SG: Imma, No. 74
E_form: -72.6 meV per atom
total magnetic moment: 0.00 μB per atom
total energy: -26.2 eV/f.u.

Cell and atoms, written as POSCAR:
```
AcZnGaAg6
1.0
8.803 0.000 0.000
0.000 5.978 0.000
-4.402 -2.989 7.367
Ag Ga Ac Zn
12 2 2 2
Direct
0.869 0.105 0.198
0.002 0.252 0.003
0.651 0.901 0.301
0.131 0.407 0.802
0.349 0.099 0.699
0.330 0.105 0.198
0.330 0.593 0.198
0.998 0.748 0.997
0.670 0.895 0.802
0.869 0.593 0.198
0.670 0.407 0.802
0.131 0.895 0.802
0.500 0.000 0.000
0.500 0.500 0.000
0.255 0.505 0.510
0.745 0.495 0.490
0.500 0.000 0.500
0.000 0.000 0.500
```


# 4
Here is an optimized crystal structure of Ac2ZnGaAg6 from Alexandria. Energies are from PBE.

SG: Fmmm, No. 69
E_form: -60.4 meV per atom
total magnetic moment: 0.00 μB per atom
total energy: -30.2 eV/f.u.

Cell and atoms, written as POSCAR:
```
Ac2ZnGaAg6
1.0
7.064 0.006 -0.001
0.006 7.067 -0.001
3.534 3.536 4.978
Ag Ac Zn Ga
6 2 1 1
Direct
0.751 0.249 0.000
0.751 0.751 0.999
0.751 0.751 0.498
0.249 0.249 0.001
0.249 0.249 0.502
0.249 0.751 0.000
0.250 0.750 0.500
0.750 0.250 0.500
0.000 0.000 0.000
0.500 0.500 0.000
```


# 5
Here is an optimized crystal structure of AcGd2Ag from Alexandria. Energies are from PBE.

distance to the lowest polymorph of the same formula: 0 meV per atom
SG: P4/mmm, No. 123
E_form: -120.6 meV per atom
total magnetic moment: 3.77 μB per atom
total energy: -35.6 eV/f.u.

Cell and atoms, written as POSCAR:
```
AcGd2Ag
1.0
-1.412 2.362 2.539
1.176 -2.253 2.750
7.756 4.361 0.257
Ac Gd Ag
1 2 1
Direct
0.500 0.500 0.000
0.000 0.000 0.300
0.000 0.000 0.700
0.500 0.500 0.500
```


# 6
Here is an optimized crystal structure of AcGd2Ag from Alexandria. Energies are from PBE.

distance to the lowest polymorph of the same formula: 149 meV per atom
SG: P4/mmm, No. 123
E_form: 28.0 meV per atom
total magnetic moment: 3.92 μB per atom
total energy: -35.0 eV/f.u.

Cell and atoms, written as POSCAR:
```
AcGd2Ag
1.0
-5.245 0.231 -0.620
0.197 -3.762 -3.065
-0.575 -3.064 3.724
Ag Ac Gd
1 1 2
Direct
0.500 0.000 0.000
0.500 0.500 0.500
0.000 0.500 0.000
0.000 0.000 0.500
```


# 7
Here is an optimized crystal structure of AcGdAg4 from Alexandria. Energies are from PBE.

SG: F-43m, No. 216
E_form: -150.8 meV per atom
total magnetic moment: 1.24 μB per atom
total energy: -30.5 eV/f.u.

Cell and atoms, written as POSCAR:
```
AcGdAg4
1.0
5.869 0.000 0.000
2.934 5.082 0.000
2.934 1.694 4.792
Gd Ag Ac
1 4 1
Direct
0.000 0.000 0.000
0.123 0.626 0.626
0.626 0.123 0.626
0.626 0.626 0.123
0.626 0.626 0.626
0.250 0.250 0.250
```


# 8
Here is an optimized crystal structure of AcGd2Ag from Alexandria. Energies are from PBE.

distance to the lowest polymorph of the same formula: 251 meV per atom
SG: Fm-3m, No. 225
E_form: 130.1 meV per atom
total magnetic moment: 4.09 μB per atom
total energy: -34.6 eV/f.u.

Cell and atoms, written as POSCAR:
```
AcGd2Ag
1.0
5.544 0.000 0.000
2.772 4.801 0.000
2.772 1.600 4.526
Gd Ag Ac
2 1 1
Direct
0.250 0.250 0.250
0.750 0.750 0.750
0.500 0.500 0.500
0.000 0.000 0.000
```


# 9
Here is an optimized crystal structure of AcGdHoAg from Alexandria. Energies are from PBE.

SG: F-43m, No. 216
E_form: 170.7 meV per atom
total magnetic moment: 2.08 μB per atom
total energy: -24.9 eV/f.u.

Cell and atoms, written as POSCAR:
```
AcGdHoAg
1.0
5.552 0.000 0.000
2.776 4.808 0.000
2.776 1.603 4.533
Gd Ag Ac Ho
1 1 1 1
Direct
0.250 0.250 0.250
0.500 0.500 0.500
0.000 0.000 0.000
0.750 0.750 0.750
```


# 10
Here is an optimized crystal structure of AcGdInAg from Alexandria. Energies are from PBE.

SG: F-43m, No. 216
E_form: -335.6 meV per atom
total magnetic moment: 1.87 μB per atom
total energy: -25.1 eV/f.u.

Cell and atoms, written as POSCAR:
```
AcGdInAg
1.0
-2.000 -5.149 -0.205
3.455 -4.291 -0.450
0.730 -3.421 4.280
In Gd Ac Ag
1 1 1 1
Direct
0.750 0.750 0.750
0.500 0.500 0.500
0.000 0.000 0.000
0.250 0.250 0.250
```


# 11
Here is an optimized crystal structure of AcGdLuAg from Alexandria. Energies are from PBE.

SG: F-43m, No. 216
E_form: 182.8 meV per atom
total magnetic moment: 2.13 μB per atom
total energy: -24.8 eV/f.u.

Cell and atoms, written as POSCAR:
```
AcGdLuAg
1.0
-5.380 0.794 0.938
-2.086 -0.899 5.029
-1.662 4.253 3.098
Ag Lu Ac Gd
1 1 1 1
Direct
0.750 0.750 0.750
0.000 0.000 0.000
0.250 0.250 0.250
0.500 0.500 0.500
```


# 12
Here is an optimized crystal structure of AcGdMgAg from Alexandria. Energies are from PBE.

SG: F-43m, No. 216
E_form: -114.6 meV per atom
total magnetic moment: 1.91 μB per atom
total energy: -23.1 eV/f.u.

Cell and atoms, written as POSCAR:
```
AcGdMgAg
1.0
5.517 0.000 0.000
2.759 4.778 0.000
2.759 1.593 4.505
Ac Ag Gd Mg
1 1 1 1
Direct
0.500 0.500 0.500
0.250 0.250 0.250
0.000 0.000 0.000
0.750 0.750 0.750
```


# 13
Here is an optimized crystal structure of AcGdAgOs from Alexandria. Energies are from PBE.

SG: F-43m, No. 216
E_form: -50.5 meV per atom
total magnetic moment: 1.73 μB per atom
total energy: -32.5 eV/f.u.

Cell and atoms, written as POSCAR:
```
AcGdAgOs
1.0
-0.840 -1.569 -4.871
-4.279 -2.694 -1.155
-3.762 2.192 -2.818
Gd Os Ac Ag
1 1 1 1
Direct
0.000 0.000 0.000
0.750 0.750 0.750
0.500 0.500 0.500
0.250 0.250 0.250
```


# 14
Here is an optimized crystal structure of AcPmGdAg from Alexandria. Energies are from PBE.

SG: F-43m, No. 216
E_form: 152.0 meV per atom
total magnetic moment: 2.11 μB per atom
total energy: -25.2 eV/f.u.

Cell and atoms, written as POSCAR:
```
AcPmGdAg
1.0
-0.945 -4.632 -3.008
2.361 -0.593 -5.047
4.105 -3.739 -0.750
Ag Ac Gd Pm
1 1 1 1
Direct
0.250 0.250 0.250
0.750 0.750 0.750
0.500 0.500 0.500
0.000 0.000 0.000
```


# 15
Here is an optimized crystal structure of AcPrGdAg from Alexandria. Energies are from PBE.

SG: F-43m, No. 216
E_form: 147.0 meV per atom
total magnetic moment: 2.12 μB per atom
total energy: -25.2 eV/f.u.

Cell and atoms, written as POSCAR:
```
AcPrGdAg
1.0
-2.816 1.490 -4.644
-0.420 -3.596 -4.314
-4.950 -2.409 -1.186
Ag Pr Ac Gd
1 1 1 1
Direct
0.500 0.500 0.500
0.250 0.250 0.250
0.000 0.000 0.000
0.750 0.750 0.750
```


# 16
Here is an optimized crystal structure of AcGdAgRh from Alexandria. Energies are from PBE.

SG: F-43m, No. 216
E_form: -413.3 meV per atom
total magnetic moment: 1.79 μB per atom
total energy: -30.0 eV/f.u.

Cell and atoms, written as POSCAR:
```
AcGdAgRh
1.0
-1.087 -2.940 -4.190
-2.749 -4.419 0.546
-4.904 -0.271 -1.806
Ag Gd Ac Rh
1 1 1 1
Direct
0.250 0.250 0.250
0.000 0.000 0.000
0.500 0.500 0.500
0.750 0.750 0.750
```


# 17
Here is an optimized crystal structure of AcSmGdAg from Alexandria. Energies are from PBE.

SG: F-43m, No. 216
E_form: 155.5 meV per atom
total magnetic moment: 2.10 μB per atom
total energy: -25.1 eV/f.u.

Cell and atoms, written as POSCAR:
```
AcSmGdAg
1.0
-2.941 -3.762 2.912
2.296 -4.925 1.328
1.360 -1.110 5.311
Sm Ag Ac Gd
1 1 1 1
Direct
0.500 0.500 0.500
0.250 0.250 0.250
0.750 0.750 0.750
0.000 0.000 0.000
```


# 18
Here is an optimized crystal structure of AcGdAgTe from Alexandria. Energies are from PBE.

E_form (uncorrected): -59.8 kJ per mole of atoms
SG: F-43m, No. 216
total magnetic moment: 2.16 μB per atom
total energy: -26.7 eV/f.u.

Cell and atoms, written as POSCAR:
```
AcGdAgTe
1.0
5.532 0.000 0.000
2.766 4.791 0.000
2.766 1.597 4.517
Ag Te Ac Gd
1 1 1 1
Direct
0.750 0.750 0.750
0.250 0.250 0.250
0.500 0.500 0.500
0.000 0.000 0.000
```


# 19
Here is an optimized crystal structure of AcGdTlAg from Alexandria. Energies are from PBE.

SG: F-43m, No. 216
E_form: -297.1 meV per atom
total magnetic moment: 1.86 μB per atom
total energy: -24.6 eV/f.u.

Cell and atoms, written as POSCAR:
```
AcGdTlAg
1.0
5.543 0.000 0.000
2.772 4.801 0.000
2.772 1.600 4.526
Tl Ag Ac Gd
1 1 1 1
Direct
0.750 0.750 0.750
0.250 0.250 0.250
0.500 0.500 0.500
0.000 0.000 0.000
```


# 20
Here is an optimized crystal structure of AcGdTmAg from Alexandria. Energies are from PBE.

SG: F-43m, No. 216
E_form: 176.7 meV per atom
total magnetic moment: 2.10 μB per atom
total energy: -24.8 eV/f.u.

Cell and atoms, written as POSCAR:
```
AcGdTmAg
1.0
-5.491 0.441 -0.525
-3.052 -4.500 -1.025
-3.327 -2.039 3.923
Gd Ac Ag Tm
1 1 1 1
Direct
0.000 0.000 0.000
0.750 0.750 0.750
0.250 0.250 0.250
0.500 0.500 0.500
```


# 21
Here is an optimized crystal structure of AcGdZnAg from Alexandria. Energies are from PBE.

SG: F-43m, No. 216
E_form: -249.3 meV per atom
total magnetic moment: 1.84 μB per atom
total energy: -23.3 eV/f.u.

Cell and atoms, written as POSCAR:
```
AcGdZnAg
1.0
5.377 0.000 0.000
2.689 4.657 0.000
2.689 1.552 4.390
Ac Zn Gd Ag
1 1 1 1
Direct
0.000 0.000 0.000
0.750 0.750 0.750
0.500 0.500 0.500
0.250 0.250 0.250
```


# 22
Here is an optimized crystal structure of AcAgGe2 from Alexandria. Energies are from PBE.

distance to the lowest polymorph of the same formula: 265 meV per atom
SG: P4/mmm, No. 123
E_form: -239.7 meV per atom
total magnetic moment: 0.00 μB per atom
total energy: -17.2 eV/f.u.

Cell and atoms, written as POSCAR:
```
AcAgGe2
1.0
4.541 0.000 0.000
0.000 4.655 0.000
0.000 0.000 4.655
Ag Ac Ge
1 1 2
Direct
0.500 0.500 0.500
0.500 0.000 0.000
0.000 0.000 0.500
0.000 0.500 0.000
```


# 23
Here is an optimized crystal structure of Ac2Ag5Ge3 from Alexandria. Energies are from PBE.

distance to the lowest polymorph of the same formula: 0 meV per atom
SG: Ibam, No. 72
E_form: -353.3 meV per atom
total magnetic moment: 0.00 μB per atom
total energy: -39.9 eV/f.u.

Cell and atoms, written as POSCAR:
```
Ac2Ag5Ge3
1.0
-2.662 -5.815 -0.915
6.367 -6.489 -0.095
-0.742 -4.489 7.871
Ge Ag Ac
6 10 4
Direct
0.376 0.478 0.770
0.624 0.522 0.230
0.124 0.230 0.522
0.876 0.770 0.478
0.750 0.000 0.000
0.250 0.000 0.000
0.125 0.993 0.757
0.750 0.500 0.500
0.250 0.500 0.500
0.375 0.243 0.007
0.875 0.007 0.243
0.022 0.728 0.728
0.522 0.728 0.728
0.478 0.272 0.272
0.625 0.757 0.993
0.978 0.272 0.272
0.376 0.884 0.363
0.876 0.363 0.884
0.624 0.116 0.637
0.124 0.637 0.116
```


# 24
Here is an optimized crystal structure of AcAgGe from Alexandria. Energies are from PBE.

distance to the lowest polymorph of the same formula: 0 meV per atom
SG: P-6m2, No. 187
E_form: -581.5 meV per atom
total magnetic moment: 0.00 μB per atom
total energy: -13.3 eV/f.u.

Cell and atoms, written as POSCAR:
```
AcAgGe
1.0
4.633 0.000 0.000
-2.317 4.012 0.000
0.000 0.000 12.812
Ac Ag Ge
3 3 3
Direct
0.495 0.989 0.000
0.495 0.989 0.334
0.495 0.989 0.666
0.161 0.323 0.500
0.828 0.656 0.833
0.828 0.656 0.167
0.161 0.323 0.828
0.161 0.323 0.172
0.828 0.656 0.500
```


# 25
Here is an optimized crystal structure of Ac12Ag2Ge5 from Alexandria. Energies are from PBE.

SG: C2/m, No. 12
E_form: -324.4 meV per atom
total magnetic moment: 0.00 μB per atom
total energy: -84.3 eV/f.u.

Cell and atoms, written as POSCAR:
```
Ac12Ag2Ge5
1.0
-1.397 3.547 -7.032
-2.453 -9.623 0.183
-8.284 4.340 3.836
Ac Ge Ag
12 5 2
Direct
0.908 0.298 0.569
0.391 0.298 0.569
0.987 0.974 0.186
0.092 0.702 0.431
0.509 0.018 0.293
0.571 0.651 0.898
0.920 0.349 0.102
0.013 0.026 0.814
0.080 0.651 0.898
0.609 0.702 0.431
0.491 0.982 0.707
0.429 0.349 0.102
0.700 0.400 0.363
0.000 0.000 0.500
0.676 0.353 0.830
0.300 0.600 0.637
0.324 0.647 0.170
0.674 0.000 0.000
0.326 0.000 0.000
```


# 26
Here is an optimized crystal structure of Ac5Ag2Ge2 from Alexandria. Energies are from PBE.

SG: Ima2, No. 46
E_form: -304.3 meV per atom
total magnetic moment: 0.00 μB per atom
total energy: -38.2 eV/f.u.

Cell and atoms, written as POSCAR:
```
Ac5Ag2Ge2
1.0
-2.464 7.504 0.388
-4.840 -1.255 -6.459
-3.537 -5.790 8.941
Ag Ge Ac
4 4 10
Direct
0.500 0.410 0.000
0.707 0.916 0.500
0.000 0.910 0.000
0.293 0.416 0.500
0.132 0.598 0.118
0.485 0.098 0.118
0.515 0.980 0.882
0.868 0.480 0.882
0.121 0.165 0.873
0.482 0.508 0.301
0.681 0.707 0.699
0.748 0.792 0.127
0.905 0.261 0.500
0.518 0.207 0.699
0.252 0.665 0.873
0.879 0.292 0.127
0.319 0.008 0.301
0.095 0.761 0.500
```